1.
## Co2IrAu (PBE)

Data for a geometry-optimized Co2IrAu structure.

## Properties
Formation energy from the elements: 303 meV per atom
DOS(E_F): 1.371 states/eV/atom

a b c (Å): 4.4618 4.4618 2.7804
angles (deg): 90.00 90.00 90.00
With the nearest neighbours (Å) after each atom.
Space group P4/mmm (No. 123)
Inequivalent atoms, fractional coordinates:
1 Co 0.0000 0.5000 0.0000  4 Ir 2.63, 4 Au 2.63, 2 Co 2.78
2 Ir 0.0000 0.0000 0.5000  8 Co 2.63, 2 Ir 2.78
3 Au 0.5000 0.5000 0.5000  8 Co 2.63, 2 Au 2.78

***

2.
## Co2IrAu (PBE)

Data for a geometry-optimized Co2IrAu structure.

## Properties
Formation energy from the elements: 332 meV per atom
DOS(E_F): 1.366 states/eV/atom

a b c (Å): 2.7682 4.5780 9.0075
angles (deg): 90.00 90.00 90.00
With the nearest neighbours (Å) after each atom.
Space group Cmm2 (No. 35)
Inequivalent atoms, fractional coordinates:
1 Co 0.0000 0.0000 0.0000  2 Co 2.37, 2 Ir 2.54
2 Co 0.0000 0.5000 0.2133  2 Co 2.37
3 Ir 0.0000 0.5000 0.7634  2 Co 2.54, 6 Ir 2.67-2.77
4 Au 0.0000 0.0000 0.4743  6 Au 2.67-2.77, 2 Co 2.73, 2 Ir 2.95

***

3.
## CoIrAu2 (PBE)

Data for a geometry-optimized CoIrAu2 structure.

## Properties
Formation energy from the elements: 201 meV per atom
DOS(E_F): 1.418 states/eV/atom

a b c (Å): 2.7916 2.7916 27.8429
angles (deg): 90.00 90.00 120.00
With the nearest neighbours (Å) after each atom.
Space group R3m (No. 160, hexagonal axes)
Inequivalent atoms, fractional coordinates:
1 Co 0.0000 0.0000 0.0000  3 Ir 2.53, 3 Au 2.76, 6 Co 2.79
2 Ir 0.0000 0.0000 0.7366  3 Co 2.53, 6 Ir 2.79
3 Au 0.0000 0.0000 0.2529  3 Co 2.76, 9 Au 2.79-3.07
4 Au 0.0000 0.0000 0.4924  9 Au 2.79-3.07, 3 Ir 2.96

***

4.
## Co2IrAu (PBE)

Data for a geometry-optimized Co2IrAu structure.

## Properties
Formation energy from the elements: 643 meV per atom
DOS(E_F): 1.434 states/eV/atom

a b c (Å): 6.7927 6.7927 5.3320
angles (deg): 90.00 90.00 90.00
With the nearest neighbours (Å) after each atom.
Space group I-42d (No. 122)
Inequivalent atoms, fractional coordinates:
1 Co 0.2238 0.7500 0.1250  2 Ir 2.37, 2 Au 2.62
2 Ir 0.0000 0.0000 0.0000  4 Co 2.37
3 Au 0.0000 0.0000 0.5000  4 Co 2.62, 2 Ir 2.67

***

5.
## CoIrAu2 (PBE)

Data for a geometry-optimized CoIrAu2 structure.

## Properties
Formation energy from the elements: 170 meV per atom
DOS(E_F): 1.059 states/eV/atom

a b c (Å): 2.8100 2.8100 7.8696
angles (deg): 90.00 90.00 90.00
With the nearest neighbours (Å) after each atom.
Space group P4mm (No. 99)
Inequivalent atoms, fractional coordinates:
1 Co 0.0000 0.0000 0.0000  4 Ir 2.52, 4 Au 2.77, 4 Co 2.81
2 Ir 0.5000 0.5000 0.1964  4 Co 2.52, 4 Ir 2.81
3 Au 0.0000 0.0000 0.4677  8 Au 2.81-3.01, 4 Ir 2.92
4 Au 0.5000 0.5000 0.7544  4 Co 2.77, 8 Au 2.81-3.01

***

6.
## CoIrAu2 (PBE)

Data for a geometry-optimized CoIrAu2 structure.

## Properties
Formation energy from the elements: 356 meV per atom
DOS(E_F): 1.222 states/eV/atom

a b c (Å): 2.7968 2.7968 27.5171
angles (deg): 90.00 90.00 120.00
With the nearest neighbours (Å) after each atom.
Space group R-3m (No. 166, hexagonal axes)
Inequivalent atoms, fractional coordinates:
1 Co 0.0000 0.0000 0.0000  6 Au 2.71, 6 Co 2.80
2 Ir 0.0000 0.0000 0.5000  6 Ir 2.80, 6 Au 2.90
3 Au 0.0000 0.0000 0.2542  3 Co 2.71, 6 Au 2.80, 3 Ir 2.90

***

7.
## Co2IrAu2 (PBE)

Data for a geometry-optimized Co2IrAu2 structure.

## Properties
Formation energy from the elements: 430 meV per atom
DOS(E_F): 0.954 states/eV/atom

a b c (Å): 6.2835 6.2835 3.8469
angles (deg): 90.00 90.00 90.00
With the nearest neighbours (Å) after each atom.
Space group P4/mbm (No. 127)
Inequivalent atoms, fractional coordinates:
1 Co 0.1239 0.3761 0.0000  1 Co 2.20
2 Ir 0.0000 0.0000 0.0000  4 Co 2.49
3 Au 0.1762 0.6762 0.5000  6 Co 2.62-2.71

***

8.
## CoIrAu (PBE)

Data for a geometry-optimized CoIrAu structure.

## Properties
Formation energy from the elements: 288 meV per atom
DOS(E_F): 1.039 states/eV/atom

a b c (Å): 2.7610 3.6375 8.8563
angles (deg): 90.00 90.00 90.00
With the nearest neighbours (Å) after each atom.
Space group Imm2 (No. 44)
Inequivalent atoms, fractional coordinates:
1 Co 0.0000 0.0000 0.0000  4 Ir 2.55, 2 Co 2.76, 5 Au 2.79-2.82
2 Ir 0.0000 0.0000 0.6288  4 Co 2.55, 5 Au 2.74-2.84, 2 Ir 2.76
3 Au 0.0000 0.0000 0.3189  5 Ir 2.74-2.84, 2 Au 2.76, 5 Co 2.79-2.82

***

9.
## CoIrAu2 (PBE)

Data for a geometry-optimized CoIrAu2 structure.

## Properties
Formation energy from the elements: 339 meV per atom
DOS(E_F): 1.054 states/eV/atom

a b c (Å): 2.7897 4.7428 9.5091
angles (deg): 90.00 90.00 90.00
With the nearest neighbours (Å) after each atom.
Space group Imm2 (No. 44)
Inequivalent atoms, fractional coordinates:
1 Co 0.0000 0.0000 0.0000  2 Ir 2.47, 6 Au 2.75-2.76
2 Ir 0.0000 0.5000 0.7147  2 Co 2.47
3 Au 0.0000 0.0000 0.4775  4 Co 2.76, 4 Au 2.79-2.95, 2 Ir 2.86
4 Au 0.0000 0.5000 0.2505  2 Co 2.75, 4 Ir 2.77, 4 Au 2.79-2.95

***

10.
## CoIrAu (PBE)

Data for a geometry-optimized CoIrAu structure.

## Properties
Formation energy from the elements: 208 meV per atom
DOS(E_F): 0.844 states/eV/atom

a b c (Å): 10.3174 2.7498 6.4274
angles (deg): 90.00 104.44 90.00
With the nearest neighbours (Å) after each atom.
Space group C2/m (No. 12)
Inequivalent atoms, fractional coordinates:
1 Co 0.0239 0.0000 0.3256  1 Co 2.41, 4 Ir 2.57-2.65
2 Ir 0.1838 0.5000 0.6178  4 Co 2.57-2.65, 4 Ir 2.66-2.75, 1 Au 2.85
3 Au 0.1351 0.5000 0.0354  5 Au 2.71-2.87, 4 Co 2.78-2.84, 3 Ir 2.85-2.88

***

11.
## CoIr3Au (PBE)

Data for a geometry-optimized CoIr3Au structure.

## Properties
Formation energy from the elements: 1446 meV per atom
DOS(E_F): 1.066 states/eV/atom

a b c (Å): 4.4599 4.4599 4.4599
angles (deg): 90.00 90.00 90.00
With the nearest neighbours (Å) after each atom.
Space group Pm-3m (No. 221)
Inequivalent atoms, fractional coordinates:
1 Co 0.0000 0.0000 0.0000  6 Ir 2.23
2 Ir 0.0000 0.0000 0.5000  2 Co 2.23
3 Au 0.5000 0.5000 0.5000  12 Ir 3.15

***

12.
## Co2IrAu (PBE)

Data for a geometry-optimized Co2IrAu structure.

## Properties
Formation energy from the elements: 175 meV per atom
DOS(E_F): 1.501 states/eV/atom

a b c (Å): 2.7172 3.6790 5.5351
angles (deg): 90.00 90.00 90.00
With the nearest neighbours (Å) after each atom.
Space group Pmmm (No. 47)
Inequivalent atoms, fractional coordinates:
1 Co 0.0000 0.0000 0.2208  3 Co 2.44-2.72, 4 Ir 2.59
2 Ir 0.5000 0.5000 0.0000  8 Co 2.59, 2 Ir 2.72, 2 Au 2.77
3 Au 0.5000 0.5000 0.5000  2 Au 2.72, 8 Co 2.76, 2 Ir 2.77

***

13.
## Co2IrAu (PBE)

Data for a geometry-optimized Co2IrAu structure.

## Properties
Formation energy from the elements: 168 meV per atom
DOS(E_F): 1.882 states/eV/atom

a b c (Å): 2.7186 2.7186 7.4177
angles (deg): 90.00 90.00 90.00
With the nearest neighbours (Å) after each atom.
Space group P4/mmm (No. 123)
Inequivalent atoms, fractional coordinates:
1 Co 0.0000 0.0000 0.2336  4 Ir 2.59, 4 Co 2.72, 4 Au 2.76
2 Ir 0.5000 0.5000 0.0000  8 Co 2.59, 4 Ir 2.72
3 Au 0.5000 0.5000 0.5000  4 Au 2.72, 8 Co 2.76

***

14.
## Co2IrAu (PBE)

Data for a geometry-optimized Co2IrAu structure.

## Properties
Formation energy from the elements: 289 meV per atom
DOS(E_F): 1.270 states/eV/atom

a b c (Å): 4.5579 2.7537 4.7145
angles (deg): 90.00 109.84 90.00
With the nearest neighbours (Å) after each atom.
Space group P2/m (No. 10)
Inequivalent atoms, fractional coordinates:
1 Co 0.0000 0.0000 0.0000  4 Au 2.66, 2 Ir 2.67, 6 Co 2.73-2.75
2 Co 0.0000 0.5000 0.5000  4 Ir 2.66, 2 Au 2.67, 6 Co 2.73-2.75
3 Ir 0.5000 0.0000 0.5000  6 Co 2.66-2.67, 4 Au 2.73, 2 Ir 2.75
4 Au 0.5000 0.5000 0.0000  6 Co 2.66-2.67, 4 Ir 2.73, 2 Au 2.75